Material: Ba2DyCu2Se4
Method: DFT, PBE
State: optimized geometry

Formation energy (no corrections)   -11.58 eV per formula unit
Size of the total moment   0.00 μB per formula unit

Lattice parameters (Å, degrees): 7.974 7.974 7.638 109.63 109.63 30.16
Sites, in units of the cell vectors:
Ba 0.135 0.135 0.070
Ba 0.865 0.865 0.930
Dy 0.000 0.000 0.500
Cu 0.318 0.318 0.511
Cu 0.682 0.682 0.489
Se 0.200 0.200 0.686
Se 0.480 0.480 0.747
Se 0.520 0.520 0.253
Se 0.800 0.800 0.314

Material: BaLaIn
Method: DFT, PBE
State: optimized geometry

E above lowest polymorph   50.6 meV/atom
Energy of formation   -0.272 eV/atom
Size of the total moment   0.00 μB per formula unit

Lattice parameters (Å, degrees): 5.758 5.758 7.990 90.00 90.00 120.00
Sites, in units of the cell vectors:
Ba 0.000 0.000 0.000
Ba 0.333 0.667 0.756
La 0.333 0.667 0.265
La 0.667 0.333 0.475
In 0.000 0.000 0.491
In 0.667 0.333 0.061

Material: OsAu2Br
Method: DFT, PBE
State: optimized geometry

E above lowest polymorph   635.1 meV/atom
Formation energy (no corrections)   5.04 eV per formula unit
Size of the total moment   2.73 μB per formula unit

Lattice parameters (Å, degrees): 4.774 4.774 4.774 60.00 60.00 60.00
Sites, in units of the cell vectors:
Os 0.000 0.000 0.000
Au 0.250 0.250 0.250
Au 0.750 0.750 0.750
Br 0.500 0.500 0.500

Material: ReIrRh
Method: DFT, PBE
State: optimized geometry

E above lowest polymorph   4.9 meV/atom
Energy of formation   -0.142 eV/atom
Size of the total moment   0.00 μB per formula unit

Lattice parameters (Å, degrees): 5.445 3.874 8.242 90.00 90.00 90.00
Sites, in units of the cell vectors:
Re 0.125 0.250 0.245
Re 0.375 0.750 0.745
Re 0.625 0.250 0.255
Re 0.875 0.750 0.755
Ir 0.123 0.250 0.915
Ir 0.377 0.750 0.415
Ir 0.623 0.250 0.585
Ir 0.877 0.750 0.085
Rh 0.125 0.250 0.586
Rh 0.375 0.750 0.086
Rh 0.625 0.250 0.914
Rh 0.875 0.750 0.414

Material: CeUBeN3
Method: DFT, PBE
State: optimized geometry

Formation energy (no corrections)   -7.46 eV per formula unit
Size of the total moment   2.45 μB per formula unit

Lattice parameters (Å, degrees): 6.949 3.299 7.189 90.00 99.98 90.00
Sites, in units of the cell vectors:
Ce 0.206 0.250 0.170
Ce 0.794 0.750 0.830
U 0.190 0.250 0.654
U 0.810 0.750 0.346
Be 0.406 0.750 0.925
Be 0.594 0.250 0.075
N 0.142 0.750 0.417
N 0.155 0.750 0.879
N 0.492 0.250 0.843
N 0.508 0.750 0.157
N 0.845 0.250 0.121
N 0.858 0.250 0.583

Material: NpTiAs3
Method: DFT, PBE
State: optimized geometry

Energy of formation   -0.629 eV/atom
Size of the total moment   3.84 μB per formula unit

Lattice parameters (Å, degrees): 12.227 5.688 5.751 90.00 90.00 90.00
Sites, in units of the cell vectors:
Np 0.183 0.012 0.250
Np 0.183 0.488 0.750
Np 0.817 0.512 0.250
Np 0.817 0.988 0.750
Ti 0.415 0.750 0.000
Ti 0.415 0.750 0.500
Ti 0.585 0.250 0.000
Ti 0.585 0.250 0.500
As 0.003 0.750 0.000
As 0.003 0.750 0.500
As 0.265 0.514 0.250
As 0.265 0.986 0.750
As 0.421 0.117 0.250
As 0.421 0.383 0.750
As 0.579 0.617 0.250
As 0.579 0.883 0.750
As 0.735 0.014 0.250
As 0.735 0.486 0.750
As 0.997 0.250 0.000
As 0.997 0.250 0.500

Material: BaAl2Pd
Method: DFT, PBE
State: optimized geometry

Energy of formation   -0.322 eV/atom
Size of the total moment   0.00 μB per formula unit

Lattice parameters (Å, degrees): 8.854 8.854 8.854 143.82 143.82 52.10
Sites, in units of the cell vectors:
Ba 0.375 0.625 0.750
Ba 0.625 0.375 0.250
Al 0.000 0.000 0.000
Al 0.000 0.000 0.500
Al 0.000 0.500 0.000
Al 0.500 0.000 0.500
Pd 0.125 0.875 0.250
Pd 0.875 0.125 0.750

Material: LaScAs2
Method: DFT, PBE
State: optimized geometry

E above lowest polymorph   1057.7 meV/atom
Energy of formation   -0.372 eV/atom
Size of the total moment   0.00 μB per formula unit

Lattice parameters (Å, degrees): 5.004 5.004 5.004 60.00 60.00 60.00
Sites, in units of the cell vectors:
La 0.000 0.000 0.000
Sc 0.250 0.250 0.250
As 0.500 0.500 0.500
As 0.750 0.750 0.750

Material: TcNi2Ru2
Method: DFT, PBE
State: optimized geometry

Energy of formation   0.266 eV/atom
Size of the total moment   0.00 μB per formula unit

Lattice parameters (Å, degrees): 6.829 6.829 2.793 90.00 90.00 90.00
Sites, in units of the cell vectors:
Tc 0.000 0.000 0.000
Tc 0.500 0.500 0.000
Ni 0.123 0.377 0.000
Ni 0.377 0.877 0.000
Ni 0.623 0.123 0.000
Ni 0.877 0.623 0.000
Ru 0.174 0.674 0.500
Ru 0.326 0.174 0.500
Ru 0.674 0.826 0.500
Ru 0.826 0.326 0.500

Material: Ca7Re
Method: DFT, PBE
State: optimized geometry

Energy of formation   0.520 eV/atom
Size of the total moment   1.85 μB per formula unit

Lattice parameters (Å, degrees): 7.266 7.266 7.266 60.00 60.00 60.00
Sites, in units of the cell vectors:
Ca 0.000 0.000 0.000
Ca 0.000 0.000 0.500
Ca 0.000 0.500 0.000
Ca 0.000 0.500 0.500
Ca 0.500 0.000 0.000
Ca 0.500 0.000 0.500
Ca 0.500 0.500 0.000
Re 0.500 0.500 0.500

> Among the records above, which one has the highest size of the total moment?

NpTiAs3